[1]
PBE Na2RuPbW, relaxed; energy of formation from the pure elements = 1385 meV/atom; symmetry = No. 123; crystal system = tetragonal
1.0
5.9945 0.0000 0.0000
0.0000 5.9945 0.0000
0.0000 0.0000 4.5521
Na Ru Pb W
2 1 1 1
Direct
0.0000 0.5000 0.0000
0.5000 0.0000 0.0000
0.0000 0.0000 0.5000
0.5000 0.5000 0.5000
0.0000 0.0000 0.0000

---

[2]
PBE CuHg2Br, relaxed; E_form (uncorrected) = 1.7 eV/f.u.; ΔE to the lowest computed polymorph = 520 meV/atom; symmetry = No. 225; crystal system = cubic
1.0
0.0000 3.6817 3.6817
3.6817 0.0000 3.6817
3.6817 3.6817 0.0000
Cu Hg Br
1 2 1
Direct
0.0000 0.0000 0.0000
0.2500 0.2500 0.2500
0.7500 0.7500 0.7500
0.5000 0.5000 0.5000

---

[3]
PBE RbHg2F4, relaxed; E_form (uncorrected) = -12.0 eV/f.u.; ΔE to the lowest computed polymorph = 0 meV/atom; symmetry = No. 1; crystal system = triclinic
1.0
6.6639 0.0000 0.0000
-1.7561 7.0405 0.0000
-2.1768 -2.7731 6.4777
Rb Hg F
2 4 8
Direct
0.0000 0.0000 0.0000
0.3006 0.8997 0.5948
0.1972 0.5425 0.9234
0.6696 0.4839 0.3421
0.6751 0.9847 0.3182
0.7933 0.4199 0.9170
0.4306 0.6509 0.3082
0.4355 0.1660 0.3239
0.4491 0.3329 0.9082
0.4852 0.7932 0.9454
0.7595 0.0704 0.6600
0.8431 0.2669 0.2319
0.8853 0.7864 0.2647
0.9453 0.6688 0.6580

---

[4]
PBE SmErMgPa, relaxed; energy of formation from the pure elements = 344 meV/atom; symmetry = No. 216; crystal system = cubic
1.0
0.0000 3.8174 3.8174
3.8174 0.0000 3.8174
3.8174 3.8174 0.0000
Sm Er Mg Pa
1 1 1 1
Direct
0.0000 0.0000 0.0000
0.5000 0.5000 0.5000
0.2500 0.2500 0.2500
0.7500 0.7500 0.7500

---

[5]
PBE Zr2SbBr, relaxed; E_form (uncorrected) = -2.0 eV/f.u.; ΔE to the lowest computed polymorph = 65 meV/atom; symmetry = No. 35; crystal system = orthorhombic
1.0
1.9742 -2.6002 0.0000
1.9742 2.6002 0.0000
0.0000 0.0000 10.4390
Zr Sb Br
2 1 1
Direct
0.0000 0.0000 0.0000
0.5000 0.5000 0.2227
0.0000 0.0000 0.4392
0.5000 0.5000 0.8147

---

[6]
PBE TlGeBiRh2, relaxed; energy of formation from the pure elements = 522 meV/atom; symmetry = No. 123; crystal system = tetragonal
1.0
4.6971 0.0000 0.0000
0.0000 4.6971 0.0000
0.0000 0.0000 5.4500
Tl Ge Bi Rh
1 1 1 2
Direct
0.0000 0.0000 0.0000
0.5000 0.5000 0.5000
0.5000 0.5000 0.0000
0.0000 0.5000 0.5000
0.5000 0.0000 0.5000

---

[7]
PBE BiAsAu2, relaxed; energy of formation from the pure elements = 120 meV/atom; symmetry = No. 122; crystal system = tetragonal
1.0
-3.8591 3.8591 3.0373
3.8591 -3.8591 3.0373
3.8591 3.8591 -3.0373
Bi As Au
2 2 4
Direct
0.0000 0.0000 0.0000
0.7500 0.2500 0.5000
0.2500 0.7500 0.5000
0.5000 0.5000 0.0000
0.1547 0.6250 0.0297
0.3750 0.4047 0.5297
0.5953 0.1250 0.9703
0.8750 0.8453 0.4703

---

[8]
PBE BaGa3C, relaxed; energy of formation from the pure elements = 611 meV/atom; ΔE to the lowest computed polymorph = 0 meV/atom; symmetry = No. 221; crystal system = cubic
1.0
4.7828 0.0000 0.0000
0.0000 4.7828 0.0000
0.0000 0.0000 4.7828
Ba Ga C
1 3 1
Direct
0.0000 0.0000 0.0000
0.0000 0.5000 0.5000
0.5000 0.0000 0.5000
0.5000 0.5000 0.0000
0.5000 0.5000 0.5000

---

[9]
PBE RbPm2Pb3Se6, relaxed; E_form (uncorrected) = -13.1 eV/f.u.; symmetry = No. 12; crystal system = monoclinic
1.0
9.4752 -2.1165 0.0000
9.4752 2.1165 0.0000
-1.8088 0.0000 9.3089
Rb Pm Pb Se
1 2 3 6
Direct
0.0000 0.0000 0.0000
0.3316 0.3316 0.6647
0.6684 0.6684 0.3353
0.0000 0.0000 0.5000
0.3394 0.3394 0.1698
0.6606 0.6606 0.8302
0.1689 0.1689 0.5591
0.1829 0.1829 0.1229
0.4855 0.4855 0.7231
0.5145 0.5145 0.2769
0.8171 0.8171 0.8771
0.8311 0.8311 0.4409

---

[10]
PBE TeOsBr2, relaxed; E_form (uncorrected) = 5.6 eV/f.u.; ΔE to the lowest computed polymorph = 1345 meV/atom; symmetry = No. 139; crystal system = tetragonal
1.0
-2.2985 2.2985 4.3039
2.2985 -2.2985 4.3039
2.2985 2.2985 -4.3039
Te Os Br
1 1 2
Direct
0.0000 0.0000 0.0000
0.5000 0.5000 0.0000
0.2500 0.7500 0.5000
0.7500 0.2500 0.5000

---

[11]
PBE CaHgMo2, relaxed; energy of formation from the pure elements = 659 meV/atom; symmetry = No. 12; crystal system = monoclinic
1.0
2.8388 -5.1415 0.0000
2.8388 5.1415 0.0000
-1.0170 0.0000 2.6458
Ca Hg Mo
1 1 2
Direct
0.0000 0.0000 0.0000
0.5000 0.5000 0.0000
0.0000 0.5000 0.5000
0.5000 0.0000 0.5000

---

[12]
PBE P2HSe, relaxed; ΔE to the lowest computed polymorph = 90 meV/atom; symmetry = No. 1; crystal system = triclinic
1.0
3.1805 0.0000 0.0000
-1.5781 4.2588 0.0000
-0.0069 -0.5136 5.9504
P H Se
2 1 1
Direct
0.0000 0.0000 0.0000
0.4128 0.8235 0.2208
0.5557 0.1108 0.3667
0.7975 0.5945 0.7324

---

[13]
PBE Nd2ZnTe, relaxed; E_form (uncorrected) = -3.2 eV/f.u.; ΔE to the lowest computed polymorph = 20 meV/atom; symmetry = No. 166; crystal system = trigonal
1.0
2.1424 1.2369 7.6284
-2.1424 1.2369 7.6284
0.0000 -2.4739 7.6284
Nd Zn Te
2 1 1
Direct
0.2482 0.2482 0.2482
0.7518 0.7518 0.7518
0.5000 0.5000 0.5000
0.0000 0.0000 0.0000

---

[14]
PBE U6TeS12, relaxed; E_form (uncorrected) = -22.5 eV/f.u.; symmetry = No. 166; crystal system = trigonal
1.0
6.2171 3.5895 3.3393
-6.2171 3.5895 3.3393
0.0000 -7.1789 3.3393
U Te S
6 1 12
Direct
0.2452 0.2452 0.6653
0.2452 0.6653 0.2452
0.3347 0.7548 0.7548
0.6653 0.2452 0.2452
0.7548 0.3347 0.7548
0.7548 0.7548 0.3347
0.0000 0.0000 0.0000
0.1289 0.5000 0.8711
0.1289 0.8711 0.5000
0.1902 0.4551 0.4551
0.4551 0.1902 0.4551
0.4551 0.4551 0.1902
0.5000 0.1289 0.8711
0.5000 0.8711 0.1289
0.5449 0.5449 0.8098
0.5449 0.8098 0.5449
0.8098 0.5449 0.5449
0.8711 0.1289 0.5000
0.8711 0.5000 0.1289

---

[15]
PBE MnTlAu2, relaxed; energy of formation from the pure elements = 130 meV/atom; ΔE to the lowest computed polymorph = 107 meV/atom; symmetry = No. 25; crystal system = orthorhombic
1.0
3.3351 0.0000 0.0000
0.0000 3.5973 0.0000
0.0000 0.0000 6.6000
Mn Tl Au
1 1 2
Direct
0.0000 0.0000 0.0000
0.5000 0.5000 0.2968
0.0000 0.0000 0.5733
0.5000 0.5000 0.8178

---

[16]
PBE Tb2TmTl, relaxed; energy of formation from the pure elements = -178 meV/atom; ΔE to the lowest computed polymorph = 0 meV/atom; symmetry = No. 123; crystal system = tetragonal
1.0
4.8316 0.0000 0.0000
0.0000 4.8316 0.0000
0.0000 0.0000 4.8639
Tb Tm Tl
2 1 1
Direct
0.0000 0.5000 0.0000
0.5000 0.0000 0.0000
0.0000 0.0000 0.5000
0.5000 0.5000 0.5000

---

[17]
PBE RbBaAg, relaxed; energy of formation from the pure elements = 21 meV/atom; ΔE to the lowest computed polymorph = 156 meV/atom; symmetry = No. 216; crystal system = cubic
1.0
0.0000 4.1765 4.1765
4.1765 0.0000 4.1765
4.1765 4.1765 0.0000
Rb Ba Ag
1 1 1
Direct
0.0000 0.0000 0.0000
0.5000 0.5000 0.5000
0.7500 0.7500 0.7500

---

[18]
PBE PmInHg5, relaxed; energy of formation from the pure elements = -225 meV/atom; symmetry = No. 123; crystal system = tetragonal
1.0
5.0219 0.0000 0.0000
0.0000 5.0219 0.0000
0.0000 0.0000 7.3766
Pm In Hg
1 1 5
Direct
0.0000 0.0000 0.0000
0.0000 0.0000 0.5000
0.0000 0.5000 0.2751
0.0000 0.5000 0.7249
0.5000 0.0000 0.2751
0.5000 0.0000 0.7249
0.5000 0.5000 0.0000

---

[19]
PBE Cr2In2Au, relaxed; energy of formation from the pure elements = 322 meV/atom; ΔE to the lowest computed polymorph = 0 meV/atom; symmetry = No. 127; crystal system = tetragonal
1.0
6.7040 0.0000 0.0000
0.0000 6.7040 0.0000
0.0000 0.0000 4.0189
Cr In Au
4 4 2
Direct
0.1049 0.3951 0.0000
0.3951 0.8951 0.0000
0.6049 0.1049 0.0000
0.8951 0.6049 0.0000
0.1862 0.6862 0.5000
0.3138 0.1862 0.5000
0.6862 0.8138 0.5000
0.8138 0.3138 0.5000
0.0000 0.0000 0.0000
0.5000 0.5000 0.0000

---

[20]
PBE TaZn2As, relaxed; energy of formation from the pure elements = 157 meV/atom; symmetry = No. 123; crystal system = tetragonal
1.0
2.8454 0.0000 0.0000
0.0000 2.8454 0.0000
0.0000 0.0000 8.4930
Ta Zn As
1 2 1
Direct
0.0000 0.0000 0.0000
0.5000 0.5000 0.2369
0.5000 0.5000 0.7631
0.0000 0.0000 0.5000

---

[21]
PBE TbMgCu, relaxed; energy of formation from the pure elements = -196 meV/atom; symmetry = No. 12; crystal system = monoclinic
1.0
5.1900 -1.9715 0.0000
5.1900 1.9715 0.0000
-4.1158 0.0000 6.4485
Tb Mg Cu
2 2 2
Direct
0.0757 0.0757 0.3382
0.9243 0.9243 0.6618
0.3230 0.3230 0.9250
0.6770 0.6770 0.0750
0.3652 0.3652 0.3346
0.6348 0.6348 0.6654

---

[22]
PBE RbSr2PtO4, relaxed; E_form (uncorrected) = -11.7 eV/f.u.; symmetry = No. 121; crystal system = tetragonal
1.0
-2.7458 2.7458 5.6126
2.7458 -2.7458 5.6126
2.7458 2.7458 -5.6126
Rb Sr Pt O
1 2 1 4
Direct
0.0000 0.0000 0.0000
0.2500 0.7500 0.5000
0.7500 0.2500 0.5000
0.5000 0.5000 0.0000
0.1875 0.5376 0.0000
0.4624 0.4624 0.6499
0.5376 0.1875 0.0000
0.8125 0.8125 0.3501

---

[23]
PBE TmMnP2Rh5, relaxed; energy of formation from the pure elements = -348 meV/atom; symmetry = No. 123; crystal system = tetragonal
1.0
4.3147 0.0000 0.0000
0.0000 4.3147 0.0000
0.0000 0.0000 9.5269
Tm Mn P Rh
1 1 2 5
Direct
0.0000 0.0000 0.0000
0.5000 0.5000 0.5000
0.5000 0.5000 0.2624
0.5000 0.5000 0.7376
0.0000 0.5000 0.2062
0.0000 0.5000 0.7938
0.5000 0.0000 0.2062
0.5000 0.0000 0.7938
0.5000 0.5000 0.0000

---

[24]
PBE Al2TeCl, relaxed; E_form (uncorrected) = -0.4 eV/f.u.; ΔE to the lowest computed polymorph = 337 meV/atom; symmetry = No. 12; crystal system = monoclinic
1.0
4.6263 -1.5117 0.0000
4.6263 1.5117 0.0000
-0.4813 0.0000 6.6577
Al Te Cl
2 1 1
Direct
0.2284 0.2284 0.1932
0.7716 0.7716 0.8068
0.5000 0.5000 0.5000
0.0000 0.0000 0.0000

---

[25]
PBE Pt2Au, relaxed; energy of formation from the pure elements = 221 meV/atom; ΔE to the lowest computed polymorph = 181 meV/atom; symmetry = No. 194; crystal system = hexagonal
1.0
4.6162 0.0000 0.0000
-2.3081 3.9977 0.0000
0.0000 0.0000 5.4553
Pt Au
4 2
Direct
0.0000 0.0000 0.0000
0.0000 0.0000 0.5000
0.3333 0.6667 0.2500
0.6667 0.3333 0.7500
0.3333 0.6667 0.7500
0.6667 0.3333 0.2500

---

[26]
PBE Cs3Pm2MgS6, relaxed; E_form (uncorrected) = -17.7 eV/f.u.; symmetry = No. 12; crystal system = monoclinic
1.0
3.5894 -6.2190 0.0000
3.5894 6.2190 0.0000
-2.3977 0.0000 8.0457
Cs Pm Mg S
3 2 1 6
Direct
0.0000 0.0000 0.0000
0.3328 0.6672 0.0000
0.6672 0.3328 0.0000
0.1664 0.8336 0.5000
0.8336 0.1664 0.5000
0.5000 0.5000 0.5000
0.1167 0.4395 0.3183
0.2377 0.2377 0.6824
0.4395 0.1167 0.3183
0.5605 0.8833 0.6817
0.7623 0.7623 0.3176
0.8833 0.5605 0.6817